Record 1
# MgAg, optimized geometry, DFT PBE
# - DFT formation energy: -201 meV/atom
data_MgAg
_symmetry_space_group_name_H-M 'P n m a'
_symmetry_Int_Tables_number 62
_symmetry_space_group_name_Hall '-P 2ac 2n'
_cell_length_a 5.416
_cell_length_b 4.804
_cell_length_c 5.759
_cell_angle_alpha 90.00
_cell_angle_beta 90.00
_cell_angle_gamma 90.00
loop_
_atom_site_label
_atom_site_type_symbol
_atom_site_fract_x
_atom_site_fract_y
_atom_site_fract_z
Mg1 Mg 0.123 0.250 0.124
Ag1 Ag 0.086 0.250 0.629

***

Record 2
# CeClO, optimized geometry, DFT PBE
# - Energy relative to the elements, uncorrected: -2.32 eV/atom
data_CeClO
_symmetry_space_group_name_H-M 'F -4 3 m'
_symmetry_Int_Tables_number 216
_symmetry_space_group_name_Hall 'F -4 2 3'
_cell_length_a 6.228
_cell_length_b 6.228
_cell_length_c 6.228
_cell_angle_alpha 90.00
_cell_angle_beta 90.00
_cell_angle_gamma 90.00
loop_
_atom_site_label
_atom_site_type_symbol
_atom_site_fract_x
_atom_site_fract_y
_atom_site_fract_z
Ce1 Ce 0.000 0.000 0.000
Cl1 Cl 0.250 0.250 0.250
O1 O 0.250 0.250 0.750

***

Record 3
# AcSmY2, optimized geometry, DFT PBE
# - Polymorph energy (0 for the lowest one): 0.004 eV/atom
# - DFT formation energy: 43 meV/atom
data_AcSmY2
_symmetry_space_group_name_H-M 'P n m a'
_symmetry_Int_Tables_number 62
_symmetry_space_group_name_Hall '-P 2ac 2n'
_cell_length_a 6.454
_cell_length_b 5.926
_cell_length_c 15.002
_cell_angle_alpha 90.00
_cell_angle_beta 90.00
_cell_angle_gamma 90.00
loop_
_atom_site_label
_atom_site_type_symbol
_atom_site_fract_x
_atom_site_fract_y
_atom_site_fract_z
Ac1 Ac 0.084 0.250 0.066
Sm1 Sm 0.084 0.250 0.312
Y1 Y 0.077 0.250 0.565
Y2 Y 0.091 0.250 0.806